# SrDy2S4 meta-GGA SCAN single point on PBEsol structure
# Total magnetization ... 0.0000 μB/atom
# Energy relative to the elements, uncorrected ... -2422 meV per atom
data_SrDy2S4
_cell_length_a 11.7411
_cell_length_b 3.9531
_cell_length_c 14.1932
_cell_angle_alpha 90.00
_cell_angle_beta 90.00
_cell_angle_gamma 90.00
_space_group_name_H-M_alt 'P n m a'
_space_group_IT_number 62
loop_
_space_group_symop_operation_xyz
'x,y,z'
'-x,-y,-z'
'-x+1/2,-y,z+1/2'
'x+1/2,y,-z+1/2'
'x+1/2,-y+1/2,-z+1/2'
'-x+1/2,y+1/2,z+1/2'
'-x,y+1/2,-z'
'x,-y+1/2,z'
loop_
_atom_site_label
_atom_site_fract_x
_atom_site_fract_y
_atom_site_fract_z
_atom_site_occupancy
Sr1 0.2454 0.2500 0.1610 1
Dy1 0.0756 0.2500 0.3923 1
Dy2 0.0769 0.2500 0.8978 1
S1 0.0166 0.7500 0.7832 1
S2 0.0815 0.2500 0.5814 1
S3 0.1349 0.7500 0.0234 1
S4 0.2112 0.7500 0.3223 1

=====

# Dy2ZnS4 meta-GGA SCAN single point on PBEsol structure
# Total magnetization ... 0.0000 μB/atom
# Energy relative to the elements, uncorrected ... -1933 meV per atom
data_Dy2ZnS4
_cell_length_a 13.3471
_cell_length_b 7.8172
_cell_length_c 6.2394
_cell_angle_alpha 90.00
_cell_angle_beta 90.00
_cell_angle_gamma 90.00
_space_group_name_H-M_alt 'P n m a'
_space_group_IT_number 62
loop_
_space_group_symop_operation_xyz
'x,y,z'
'-x,-y,-z'
'-x+1/2,-y,z+1/2'
'x+1/2,y,-z+1/2'
'x+1/2,-y+1/2,-z+1/2'
'-x+1/2,y+1/2,z+1/2'
'-x,y+1/2,-z'
'x,-y+1/2,z'
loop_
_atom_site_label
_atom_site_fract_x
_atom_site_fract_y
_atom_site_fract_z
_atom_site_occupancy
Dy1 0.0000 0.0000 0.0000 1
Dy2 0.2344 0.2500 0.4933 1
Zn1 0.0919 0.7500 0.4070 1
S1 0.0702 0.2500 0.7434 1
S2 0.0898 0.7500 0.7714 1
S3 0.1691 0.5144 0.2434 1

=====

# Dy4Sb3 meta-GGA SCAN single point on PBEsol structure
# Total magnetization ... 0.0001 μB/atom
# Energy relative to the elements, uncorrected ... -1074 meV per atom
data_Dy4Sb3
_cell_length_a 9.0484
_cell_length_b 9.0484
_cell_length_c 9.0484
_cell_angle_alpha 90.00
_cell_angle_beta 90.00
_cell_angle_gamma 90.00
_space_group_name_H-M_alt 'I -4 3 d'
_space_group_IT_number 220
_space_group_name_Hall 'I -4bd 2c 3'
loop_
_atom_site_label
_atom_site_fract_x
_atom_site_fract_y
_atom_site_fract_z
_atom_site_occupancy
Dy1 0.0726 0.4274 0.5726 1
Sb1 0.0000 0.2500 0.8750 1

=====

# DySb2 meta-GGA SCAN single point on PBEsol structure
# Total magnetization ... 0.0000 μB/atom
# Energy relative to the elements, uncorrected ... -229 meV per atom
data_DySb2
_cell_length_a 3.5218
_cell_length_b 6.1535
_cell_length_c 7.4492
_cell_angle_alpha 90.00
_cell_angle_beta 90.00
_cell_angle_gamma 90.00
_space_group_name_H-M_alt 'C 2 2 2'
_space_group_IT_number 21
loop_
_space_group_symop_operation_xyz
'x,y,z'
'-x,-y,z'
'x,-y,-z'
'-x,y,-z'
'x+1/2,y+1/2,z'
'-x+1/2,-y+1/2,z'
'x+1/2,-y+1/2,-z'
'-x+1/2,y+1/2,-z'
loop_
_atom_site_label
_atom_site_fract_x
_atom_site_fract_y
_atom_site_fract_z
_atom_site_occupancy
Dy1 0.0000 0.0000 0.0000 1
Sb1 0.2500 0.2500 0.3276 1

=====

# DyScSb meta-GGA SCAN single point on PBEsol structure
# Total magnetization ... 0.1068 μB/atom
# Energy relative to the elements, uncorrected ... -932 meV per atom
data_DyScSb
_cell_length_a 4.2792
_cell_length_b 4.2792
_cell_length_c 8.0729
_cell_angle_alpha 90.00
_cell_angle_beta 90.00
_cell_angle_gamma 90.00
_space_group_name_H-M_alt 'P 4/n m m'
_space_group_IT_number 129
loop_
_space_group_symop_operation_xyz
'x,y,z'
'-x,-y,-z'
'-y+1/2,x,z'
'y+1/2,-x,-z'
'-x+1/2,-y+1/2,z'
'x+1/2,y+1/2,-z'
'y,-x+1/2,z'
'-y,x+1/2,-z'
'x+1/2,-y,-z'
'-x+1/2,y,z'
'-y,-x,-z'
'y,x,z'
'-x,y+1/2,-z'
'x,-y+1/2,z'
'y+1/2,x+1/2,-z'
'-y+1/2,-x+1/2,z'
loop_
_atom_site_label
_atom_site_fract_x
_atom_site_fract_y
_atom_site_fract_z
_atom_site_occupancy
Dy1 0.2500 0.2500 0.1511 1
Sc1 0.2500 0.7500 0.5000 1
Sb1 0.2500 0.2500 0.7657 1

=====

# Dy5Si2Sb2 meta-GGA SCAN single point on PBEsol structure
# Total magnetization ... 0.0000 μB/atom
# Energy relative to the elements, uncorrected ... -984 meV per atom
data_Dy5Si2Sb2
_cell_length_a 14.9008
_cell_length_b 7.7154
_cell_length_c 7.7400
_cell_angle_alpha 90.00
_cell_angle_beta 90.00
_cell_angle_gamma 90.00
_space_group_name_H-M_alt 'C m c e'
_space_group_IT_number 64
_space_group_name_Hall '-C 2ac 2'
loop_
_atom_site_label
_atom_site_fract_x
_atom_site_fract_y
_atom_site_fract_z
_atom_site_occupancy
Dy1 0.0000 0.0000 0.0000 1
Dy2 0.1273 0.1711 0.3293 1
Si1 0.0000 0.1238 0.6233 1
Sb1 0.2071 0.0000 0.0000 1

=====

- energy relative to the elements, uncorrected of number 2 (Dy2ZnS4)?
  -1933 meV per atom

=====

- Which formula does entry 1 have?
  SrDy2S4